No. 1
ZnOsPbO6 | PBE | optimized geometry

Computed properties:
Final energy in eV for the cell shown: -110.41

Geometry as extended XYZ:
```
18
Lattice="-1.978 -4.753 -1.466 4.028 2.190 -2.762 6.627 -4.611 6.007" Properties=species:S:1:pos:R:3 pbc="T T T"
O 6.197 -7.240 2.052
Zn 1.681 -3.591 -0.397
O 3.598 -4.777 3.204
O 6.371 -5.027 3.560
O 4.541 -6.903 4.137
O 3.232 -2.519 0.518
O 4.864 -0.395 0.349
O 4.135 -0.270 -2.359
Os 3.683 -1.277 -0.829
Pb 0.000 0.000 0.000
O 2.480 0.067 -0.274
O 5.445 -4.655 1.260
O 2.306 -2.147 -1.781
O 3.813 -6.779 1.429
O 5.079 -2.397 -1.425
Pb 3.314 -2.306 3.004
Os 4.994 -5.897 2.607
Zn 6.996 -3.583 2.175
```

=====

No. 2
ZnOs2PbO8 | PBE | optimized geometry

Computed properties:
Final energy in eV for the cell shown: -77.78

Geometry as extended XYZ:
```
12
Lattice="5.834 0.000 0.000 -2.917 5.052 0.000 0.000 0.000 6.918" Properties=species:S:1:pos:R:3 pbc="T T T"
O 0.000 3.368 0.085
O 4.439 0.771 2.089
Pb 0.000 0.000 0.000
O 2.917 1.684 6.834
O -1.522 4.281 4.829
Zn 0.000 0.000 3.459
O 2.947 3.459 2.089
Os 2.917 1.684 1.707
O 1.365 0.822 2.089
O -0.030 1.593 4.829
Os 0.000 3.368 5.211
O 1.552 4.230 4.829
```

=====

No. 3
ZnOsPb2O6 | PBE | optimized geometry

Computed properties:
Final energy in eV for the cell shown: -60.58

Geometry as extended XYZ:
```
10
Lattice="-5.715 0.100 0.811 0.460 -4.241 3.762 3.056 4.726 0.655" Properties=species:S:1:pos:R:3 pbc="T T T"
Zn -2.857 0.050 0.406
O -4.212 -0.777 1.864
O -2.192 1.441 1.893
O 1.791 3.408 1.549
Os 0.230 -2.120 1.881
Pb 0.299 1.327 1.459
O 2.013 1.362 3.364
O -3.990 -2.823 3.679
O -0.007 -0.856 3.335
Pb -2.497 -0.742 3.768
```

=====

No. 4
Zr2OsPbO | PBE | optimized geometry

Computed properties:
Final energy in eV for the cell shown: -37.52

Geometry as extended XYZ:
```
5
Lattice="-4.889 2.086 0.275 -0.417 -0.489 -3.704 -2.019 -4.847 0.867" Properties=species:S:1:pos:R:3 pbc="T T T"
Os 0.000 0.000 0.000
Zr -2.444 1.043 0.137
Pb -3.662 -1.625 -1.281
Zr -1.010 -2.424 0.434
O -0.208 -0.245 -1.852
```